Entry 1:
MgCrTe2 | PBEsol | relaxed Values from VASP.

For the formation energy without anion corrections, the calculation gives 394 meV per atom. The electronic total energy comes out at -17.4 eV per cell. The value obtained for the magnetic moment is 1.04 μB/atom.

Structure (Quantum ESPRESSO input):
```
&SYSTEM
  ibrav = 0, nat = 4, ntyp = 3
/
ATOMIC_SPECIES
Cr 52.00 Cr.upf
Te 127.60 Te.upf
Mg 24.30 Mg.upf
CELL_PARAMETERS angstrom
5.104 0.000 0.000
2.552 4.420 0.000
2.552 1.473 4.168
ATOMIC_POSITIONS crystal
Cr 0.500 0.500 0.500
Te 0.250 0.250 0.250
Te 0.000 0.000 0.000
Mg 0.750 0.750 0.750
```

Entry 2:
BaTa3N | PBEsol | relaxed Values from VASP.

For the formation energy without anion corrections, the calculation gives 445 meV per atom. The electronic total energy comes out at -46.1 eV per cell. The value obtained for the magnetic moment is 0.00 μB/atom.

Structure (Quantum ESPRESSO input):
```
&SYSTEM
  ibrav = 0, nat = 5, ntyp = 3
/
ATOMIC_SPECIES
N 14.01 N.upf
Ta 180.95 Ta.upf
Ba 137.33 Ba.upf
CELL_PARAMETERS angstrom
4.444 0.000 0.000
0.000 4.444 0.000
0.000 0.000 4.444
ATOMIC_POSITIONS crystal
N 0.000 0.000 0.000
Ta 0.000 0.000 0.500
Ta 0.000 0.500 0.000
Ta 0.500 0.000 0.000
Ba 0.500 0.500 0.500
```

Entry 3:
YTaW2 | PBEsol | relaxed Values from VASP.

The electronic total energy comes out at -44.3 eV per cell. Its formation energy is 669 meV/atom. The value obtained for the magnetic moment is 0.00 μB/atom. The value obtained for the energy above the most stable polymorph in this dataset is 195 meV per atom.

Structure (Quantum ESPRESSO input):
```
&SYSTEM
  ibrav = 0, nat = 4, ntyp = 3
/
ATOMIC_SPECIES
Ta 180.95 Ta.upf
W 183.84 W.upf
Y 88.91 Y.upf
CELL_PARAMETERS angstrom
2.857 0.000 0.000
1.429 2.474 0.000
1.429 0.825 10.362
ATOMIC_POSITIONS crystal
Ta 0.000 0.000 0.000
W 0.254 0.254 0.237
W 0.746 0.746 0.763
Y 0.500 0.500 0.500
```

Entry 4:
Ba3TaN | PBEsol | relaxed Values from VASP.

For the formation energy without anion corrections, the calculation gives 661 meV per atom. The electronic total energy comes out at -24.2 eV per cell. The value obtained for the magnetic moment is 1.05 μB/atom. The value obtained for the energy above the most stable polymorph in this dataset is 0 meV per atom.

Structure (Quantum ESPRESSO input):
```
&SYSTEM
  ibrav = 0, nat = 5, ntyp = 3
/
ATOMIC_SPECIES
Ba 137.33 Ba.upf
N 14.01 N.upf
Ta 180.95 Ta.upf
CELL_PARAMETERS angstrom
-2.401 4.429 2.213
-4.225 -0.551 -3.481
-2.580 -3.218 3.641
ATOMIC_POSITIONS crystal
Ba 0.000 0.500 0.000
Ba 0.000 0.000 0.500
Ba 0.500 0.000 0.000
N 0.000 0.000 0.000
Ta 0.500 0.500 0.500
```

Entry 5:
SiAgPb2 | PBEsol | relaxed Values from VASP.

For the formation energy without anion corrections, the calculation gives 330 meV per atom. The electronic total energy comes out at -15.7 eV per cell. The value obtained for the magnetic moment is 0.00 μB/atom.

Structure (Quantum ESPRESSO input):
```
&SYSTEM
  ibrav = 0, nat = 4, ntyp = 3
/
ATOMIC_SPECIES
Pb 207.20 Pb.upf
Ag 107.87 Ag.upf
Si 28.09 Si.upf
CELL_PARAMETERS angstrom
-1.459 -0.746 -2.915
4.602 0.636 -2.463
0.284 -5.118 1.171
ATOMIC_POSITIONS crystal
Pb 0.000 0.500 0.000
Pb 0.000 0.000 0.500
Ag 0.500 0.500 0.500
Si 0.500 0.000 0.000
```

Entry 6:
CoIrRu3 | PBEsol | relaxed Values from VASP.

The electronic total energy comes out at -39.8 eV per cell. Its formation energy is 1655 meV/atom. The value obtained for the magnetic moment is 0.00 μB/atom.

Structure (Quantum ESPRESSO input):
```
&SYSTEM
  ibrav = 0, nat = 5, ntyp = 3
/
ATOMIC_SPECIES
Ru 101.07 Ru.upf
Ir 192.22 Ir.upf
Co 58.93 Co.upf
CELL_PARAMETERS angstrom
-1.225 3.560 1.948
-4.056 -1.020 -0.685
-0.106 -2.062 3.702
ATOMIC_POSITIONS crystal
Ru 0.500 0.000 0.000
Ru 0.000 0.000 0.500
Ru 0.000 0.500 0.000
Ir 0.500 0.500 0.500
Co 0.000 0.000 0.000
```

Entry 7:
Co2SiRu2 | PBEsol | relaxed Values from VASP.

For the formation energy without anion corrections, the calculation gives 532 meV per atom. The electronic total energy comes out at -38.9 eV per cell. The value obtained for the magnetic moment is 0.00 μB/atom.

Structure (Quantum ESPRESSO input):
```
&SYSTEM
  ibrav = 0, nat = 5, ntyp = 3
/
ATOMIC_SPECIES
Ru 101.07 Ru.upf
Si 28.09 Si.upf
Co 58.93 Co.upf
CELL_PARAMETERS angstrom
-0.169 -3.359 0.029
3.343 -0.172 -0.328
-1.014 1.787 5.966
ATOMIC_POSITIONS crystal
Ru 0.750 0.250 0.500
Ru 0.250 0.750 0.500
Si 0.000 0.000 0.000
Co 0.594 0.594 0.187
Co 0.406 0.406 0.813
```

Entry 8:
AgPdCl2 | PBEsol | relaxed Values from VASP.

For the formation energy without anion corrections, the calculation gives 41 meV per atom. The electronic total energy comes out at -13.1 eV per cell. The value obtained for the magnetic moment is 0.25 μB/atom.

Structure (Quantum ESPRESSO input):
```
&SYSTEM
  ibrav = 0, nat = 4, ntyp = 3
/
ATOMIC_SPECIES
Ag 107.87 Ag.upf
Cl 35.45 Cl.upf
Pd 106.42 Pd.upf
CELL_PARAMETERS angstrom
4.594 0.000 0.000
2.297 3.979 0.000
2.297 1.326 3.751
ATOMIC_POSITIONS crystal
Ag 0.500 0.500 0.500
Cl 0.750 0.750 0.750
Cl 0.250 0.250 0.250
Pd 0.000 0.000 0.000
```